A plane-wave DFT calculation with PBE+U was carried out for PbWO2 after structural relaxation.

Computed properties:
Space-group type   No. 141
N(E_F)   5.49 states/eV per cell
Polymorph energy (0 for the lowest one)   319 meV/atom
Calculated total energy   -0.4540 Ry/atom

Unit cell a=7.145 b=7.145 c=7.145 alpha=122.31 beta=122.31 gamma=86.04
Positions (direct):
Pb1 0.000 0.000 0.000
Pb2 0.000 0.000 0.500
Pb3 0.000 0.500 0.000
Pb4 0.500 0.000 0.500
W1 0.000 0.500 0.500
W2 0.500 0.000 0.000
W3 0.500 0.500 0.000
W4 0.500 0.500 0.500
O1 0.263 0.711 0.552
O2 0.289 0.341 0.552
O3 0.289 0.737 0.948
O4 0.341 0.289 0.052
O5 0.659 0.711 0.948
O6 0.711 0.263 0.052
O7 0.711 0.659 0.448
O8 0.737 0.289 0.448